(1)
Pr2Sm7Ho4 | PBE | relaxed

Structure (POSCAR):
```
Pr2Sm7Ho4
1.0
6.178 0.000 0.000
-3.089 5.350 0.000
0.000 0.000 13.263
Pr Sm Ho
2 7 4
Cartesian
3.089 1.783 0.000
0.000 3.567 0.000
0.000 0.000 0.000
3.915 0.000 10.301
-1.131 1.960 2.962
-0.826 5.350 2.962
4.220 3.391 10.301
1.131 1.960 10.301
1.958 3.391 2.962
6.178 0.000 5.223
-3.089 5.350 8.039
3.089 1.783 6.631
0.000 3.567 6.631
```

Total DFT energy (no corrections) ... -4.51 eV/atom
DOS(E_F) ... 1.347 states/eV per atom

(2)
Pr6SmHo2 | PBE | relaxed

Structure (POSCAR):
```
Pr6SmHo2
1.0
0.037 -4.852 -3.192
11.325 -4.299 1.376
4.601 -8.403 7.539
Ho Pr Sm
4 12 2
Cartesian
4.563 -5.258 0.128
12.498 -9.189 6.168
3.464 -8.366 -0.444
11.400 -12.297 5.595
3.589 -7.260 3.150
0.801 -2.232 0.747
12.373 -10.295 2.573
1.946 -3.971 -1.881
15.162 -15.322 4.976
8.792 -10.986 3.604
14.017 -13.584 7.605
9.875 -7.888 4.190
8.984 -9.927 7.259
6.087 -9.667 1.533
7.171 -6.568 2.119
6.979 -7.628 -1.536
6.285 -8.594 5.206
9.677 -8.961 0.517
```

Distance to the lowest polymorph of the same formula ... 0.000 eV/atom
Total DFT energy (no corrections) ... -4.67 eV/atom
DOS(E_F) ... 1.398 states/eV per atom

(3)
Pr4Sm3Ho4 | PBE | relaxed

Structure (POSCAR):
```
Pr4Sm3Ho4
1.0
5.756 0.000 0.000
-2.878 6.057 0.000
0.000 0.000 10.806
Ho Pr Sm
4 4 3
Cartesian
2.878 0.658 0.000
0.000 1.271 3.289
2.878 1.312 5.403
0.000 1.271 7.517
2.878 4.619 5.403
2.878 3.078 2.272
2.878 5.576 0.000
2.878 3.078 8.534
0.000 4.983 3.123
0.000 3.070 0.000
0.000 4.983 7.683
```

Distance to the lowest polymorph of the same formula ... 0.133 eV/atom
Total DFT energy (no corrections) ... -4.54 eV/atom
DOS(E_F) ... 1.551 states/eV per atom